Entry 1:
Computed, not measured: a relaxed Ho8MgTc2 crystal at the PBE level of DFT.

Properties
The calculation puts the offset from the most stable computed form at 0.0 meV per atom. As for the formation energy: -0.27 eV/f.u. As for the space group: C2/m.

Cell and atoms, written as extended XYZ:
```
11
Lattice="4.385 -6.525 0.000 4.385 6.525 0.000 -1.312 0.000 5.382" Properties=species:S:1:pos:R:3 pbc="T T T"
Ho -0.088 0.000 4.287
Ho 2.105 1.739 2.280
Ho 4.385 3.271 0.000
Ho 2.105 -1.739 2.280
Ho 5.353 1.739 3.102
Ho 4.385 -3.271 0.000
Ho 5.353 -1.739 3.102
Ho 7.547 0.000 1.095
Mg 4.385 0.000 0.000
Tc 3.729 4.120 2.691
Tc 3.729 -4.120 2.691
```

Entry 2:
Computed, not measured: a relaxed Ho6Mg3Tc crystal at the PBE level of DFT.

Properties
As for the formation energy: -0.43 eV/f.u. As for the space group: P2_1/m.

Cell and atoms, written as extended XYZ:
```
20
Lattice="9.295 0.000 0.000 0.000 5.356 0.000 -3.406 0.000 10.724" Properties=species:S:1:pos:R:3 pbc="T T T"
Ho -1.032 1.339 4.490
Ho 1.335 4.017 1.840
Ho 2.713 1.339 0.115
Ho 0.375 4.017 8.880
Ho 2.354 1.339 3.663
Ho 1.485 1.339 6.964
Ho 4.404 4.017 3.761
Ho 3.536 4.017 7.061
Ho 5.515 1.339 1.845
Ho 3.177 4.017 10.610
Ho 4.554 1.339 8.884
Ho 6.921 4.017 6.235
Mg -2.899 4.017 9.448
Mg -1.661 1.339 7.778
Mg 0.851 4.017 5.113
Mg 5.039 1.339 5.611
Mg 7.551 4.017 2.946
Mg 8.789 1.339 1.276
Tc 4.019 4.017 1.041
Tc 1.871 1.339 9.683
```

Entry 3:
Computed, not measured: a relaxed Ho4MgTc crystal at the PBE level of DFT.

Properties
As for the formation energy: -0.53 eV/f.u. As for the space group: C2/c.

Cell and atoms, written as extended XYZ:
```
12
Lattice="4.432 -6.394 0.000 4.432 6.394 0.000 -1.928 0.000 5.896" Properties=species:S:1:pos:R:3 pbc="T T T"
Ho 1.676 4.237 5.595
Ho 1.230 1.076 3.655
Ho 4.295 4.237 3.248
Ho 2.194 -1.076 0.707
Ho 4.741 1.076 5.188
Ho 2.640 -4.237 2.648
Ho 5.705 -1.076 2.240
Ho 5.259 -4.237 0.300
Mg 3.950 1.550 1.474
Mg 2.986 -1.550 4.422
Tc 2.986 6.381 4.422
Tc 3.950 -6.381 1.474
```

Entry 4:
Computed, not measured: a relaxed Ho3Mg2Tc2 crystal at the PBE level of DFT.

Properties
As for the formation energy: 0.12 eV/f.u. As for the space group: Cmmm.

Cell and atoms, written as extended XYZ:
```
14
Lattice="4.005 0.000 0.000 0.000 21.015 0.000 0.000 0.000 4.163" Properties=species:S:1:pos:R:3 pbc="T T T"
Ho 0.000 0.000 0.000
Ho 0.000 3.664 0.000
Ho 0.000 17.350 0.000
Ho 2.003 6.843 0.000
Ho 2.003 10.507 0.000
Ho 2.003 14.172 0.000
Mg 0.000 8.782 2.081
Mg 0.000 12.233 2.081
Mg 2.003 1.726 2.081
Mg 2.003 19.289 2.081
Tc 0.000 5.879 2.081
Tc 0.000 15.136 2.081
Tc 2.003 4.628 2.081
Tc 2.003 16.386 2.081
```

Entry 5:
Computed, not measured: a relaxed Ho6MgTc crystal at the PBE level of DFT.

Properties
As for the formation energy: 2.04 eV/f.u. As for the space group: P-1.

Cell and atoms, written as extended XYZ:
```
8
Lattice="6.787 0.000 0.000 3.386 5.958 0.000 3.309 1.992 6.323" Properties=species:S:1:pos:R:3 pbc="T T T"
Ho 2.489 3.018 1.643
Ho 7.191 7.266 4.688
Ho 6.369 5.226 1.639
Ho 7.114 2.724 4.683
Ho 6.291 0.685 1.635
Ho 10.993 4.933 4.679
Mg 5.087 2.979 0.000
Tc 1.655 0.996 3.161
```

Entry 6:
Computed, not measured: a relaxed Ho3MgTc crystal at the PBE level of DFT.

Properties
The calculation puts the offset from the most stable computed form at 0.0 meV per atom. As for the formation energy: -0.07 eV/f.u. As for the space group: Pc.

Cell and atoms, written as extended XYZ:
```
10
Lattice="3.403 0.000 0.000 0.000 7.924 0.000 -0.004 0.000 9.653" Properties=species:S:1:pos:R:3 pbc="T T T"
Ho 0.000 0.415 0.000
Ho -0.002 2.277 6.823
Ho 0.000 5.647 1.997
Ho -0.002 7.509 4.826
Ho 0.002 2.276 2.827
Ho 0.000 5.648 7.653
Mg 1.702 3.335 9.648
Mg 1.704 4.589 4.821
Tc 1.701 7.923 2.414
Tc 1.699 0.001 7.240
```

Entry 7:
Computed, not measured: a relaxed Ho8MgTc2 crystal at the PBE level of DFT.

Properties
The calculation puts the offset from the most stable computed form at 9.2 meV per atom. As for the formation energy: -0.16 eV/f.u. As for the space group: Cm.

Cell and atoms, written as extended XYZ:
```
11
Lattice="4.360 -7.840 0.000 4.360 7.840 0.000 -3.281 0.000 4.229" Properties=species:S:1:pos:R:3 pbc="T T T"
Ho 0.000 0.000 0.000
Ho 2.242 5.201 1.749
Ho 0.442 3.272 3.741
Ho -0.197 0.000 3.232
Ho 2.985 1.736 2.324
Ho 0.442 -3.272 3.741
Ho 2.985 -1.736 2.324
Ho 2.242 -5.201 1.749
Mg 5.432 0.000 0.832
Tc 0.991 2.579 0.785
Tc 0.991 -2.579 0.785
```

Entry 8:
Computed, not measured: a relaxed HoMgTc crystal at the PBE level of DFT.

Properties
As for the formation energy: 0.06 eV/f.u. As for the space group: C2/m.

Cell and atoms, written as extended XYZ:
```
12
Lattice="12.054 0.000 0.000 0.000 4.335 0.000 -0.872 0.000 5.312" Properties=species:S:1:pos:R:3 pbc="T T T"
Ho 1.307 0.000 1.798
Ho 3.848 2.167 3.514
Ho 7.334 2.167 1.798
Ho 9.876 0.000 3.514
Mg 0.239 2.167 4.122
Mg 4.917 0.000 1.190
Mg 6.266 0.000 4.122
Mg 10.944 2.167 1.190
Tc 1.924 0.000 4.758
Tc 3.231 2.167 0.554
Tc 7.951 2.167 4.758
Tc 9.258 0.000 0.554
```